(1)
## Sn2PdCl (PBE)

Data for an optimized crystal structure of Sn2PdCl.

Unit cell a=7.031 b=7.031 c=7.031 alpha=90.00 beta=90.00 gamma=90.00
Space group Fm-3m (No. 225)
Inequivalent atoms, fractional coordinates:
Sn (0.250, 0.250, 0.250) (multiplicity 8)
Pd (0.000, 0.000, 0.000) (multiplicity 4)
Cl (0.000, 0.000, 0.500) (multiplicity 4)

density of states at the Fermi level: 12.5 states/eV/cell
uncorrected formation energy: -0.165 eV/atom


(2)
## Ca2YZn2 (PBE)

Data for an optimized crystal structure of Ca2YZn2.

Unit cell a=7.487 b=7.487 c=4.941 alpha=90.00 beta=90.00 gamma=90.00
Space group P4/mbm (No. 127)
Inequivalent atoms, fractional coordinates:
Ca (0.174, 0.326, 0.000) (multiplicity 4)
Y (0.000, 0.000, 0.500) (multiplicity 2)
Zn (0.119, 0.619, 0.500) (multiplicity 4)

density of states at the Fermi level: 12.0 states/eV/cell
formation energy from the elements: -0.171 eV per atom


(3)
## Ca2AgSe (PBE)

Data for an optimized crystal structure of Ca2AgSe.

Unit cell a=4.302 b=4.302 c=6.073 alpha=90.00 beta=90.00 gamma=90.00
Space group P4/mmm (No. 123)
Inequivalent atoms, fractional coordinates:
Ca (0.000, 0.000, 0.000) (multiplicity 1)
Ca (0.500, 0.500, 0.500) (multiplicity 1)
Ag (0.000, 0.000, 0.500) (multiplicity 1)
Se (0.500, 0.500, 0.000) (multiplicity 1)

density of states at the Fermi level: 1.6 states/eV/cell
uncorrected formation energy: -0.962 eV/atom


(4)
## Y2AgPd8 (PBE)

Data for an optimized crystal structure of Y2AgPd8.

Unit cell a=14.612 b=4.243 c=6.547 alpha=90.00 beta=107.56 gamma=90.00
Space group C2/m (No. 12)
Inequivalent atoms, fractional coordinates:
Y (0.216, 0.000, 0.166) (multiplicity 4)
Ag (0.000, 0.500, 0.500) (multiplicity 2)
Pd (0.035, 0.000, 0.223) (multiplicity 4)
Pd (0.091, 0.500, 0.944) (multiplicity 4)
Pd (0.142, 0.000, 0.679) (multiplicity 4)
Pd (0.170, 0.500, 0.400) (multiplicity 4)

density of states at the Fermi level: 7.8 states/eV/cell
formation energy from the elements: -0.495 eV per atom


(5)
## Ag2GeTe (PBE)

Data for an optimized crystal structure of Ag2GeTe.

Unit cell a=7.751 b=7.751 c=5.997 alpha=90.00 beta=90.00 gamma=90.00
Space group I-42d (No. 122)
Inequivalent atoms, fractional coordinates:
Ag (0.235, 0.250, 0.125) (multiplicity 8)
Ge (0.000, 0.000, 0.000) (multiplicity 4)
Te (0.000, 0.000, 0.500) (multiplicity 4)

density of states at the Fermi level: 8.1 states/eV/cell
uncorrected formation energy: 0.258 eV/atom


(6)
## EuBN (PBE)

Data for an optimized crystal structure of EuBN.

Unit cell a=2.8826 b=2.8826 c=4.5707 alpha=90.00 beta=90.00 gamma=120.00
Space group P-6m2 (No. 187)
Inequivalent atoms, fractional coordinates:
Eu (0.0000, 0.0000, 0.0000) (multiplicity 1)
B (0.6667, 0.3333, 0.5000) (multiplicity 1)
N (0.3333, 0.6667, 0.5000) (multiplicity 1)

density of states at the Fermi level: 1.1 states/eV/cell
uncorrected formation energy: 0.068 eV/atom